# NaCuSe3, optimized geometry, DFT PBE-GGA
# **Energy relative to the elements, uncorrected**: -0.3174 eV per atom
# **V**: 125.29 Å³/f.u.
# **Space group**: P-1 (2)
# **Magnetization**: 0.000 μB per atom
# **Excess energy over the best structure of this formula in the dataset**: 36.2 meV/atom
# **Uncorrected energy**: -3.491 eV/atom
data_NaCuSe3
_chemical_formula_sum 'Na2 Cu2 Se6'
_cell_length_a 7.926
_cell_length_b 5.697
_cell_length_c 12.714
_cell_angle_alpha 42.10
_cell_angle_beta 108.29
_cell_angle_gamma 134.12
_symmetry_space_group_name_H-M 'P 1'
_symmetry_Int_Tables_number 1
loop_
_symmetry_equiv_pos_as_xyz
'x,y,z'
loop_
_atom_site_label
_atom_site_type_symbol
_atom_site_fract_x
_atom_site_fract_y
_atom_site_fract_z
Na1 Na 0.653 0.128 0.116
Na2 Na 0.410 0.872 0.884
Cu1 Cu 0.032 0.000 0.500
Cu2 Cu 0.532 0.000 0.500
Se1 Se 0.537 0.303 0.241
Se2 Se 0.526 0.697 0.759
Se3 Se 0.069 0.303 0.241
Se4 Se 0.080 0.801 0.296
Se5 Se 0.994 0.697 0.759
Se6 Se 0.984 0.199 0.704

=====

# K4Tl3F8, optimized geometry, DFT PBE-GGA
# **Energy relative to the elements, uncorrected**: -2.2236 eV per atom
# **V**: 318.13 Å³/f.u.
# **Space group**: C2/m (12)
# **Magnetization**: 0.000 μB per atom
# **Uncorrected energy**: -3.988 eV/atom
data_K4Tl3F8
_chemical_formula_sum 'K4 Tl3 F8'
_cell_length_a 7.681
_cell_length_b 7.737
_cell_length_c 7.737
_cell_angle_alpha 88.95
_cell_angle_beta 121.00
_cell_angle_gamma 121.00
_symmetry_space_group_name_H-M 'P 1'
_symmetry_Int_Tables_number 1
loop_
_symmetry_equiv_pos_as_xyz
'x,y,z'
loop_
_atom_site_label
_atom_site_type_symbol
_atom_site_fract_x
_atom_site_fract_y
_atom_site_fract_z
K1 K 0.500 0.000 0.000
K2 K 0.000 0.500 0.000
K3 K 0.000 0.000 0.000
K4 K 0.000 0.000 0.500
Tl1 Tl 0.500 0.500 0.000
Tl2 Tl 0.500 0.000 0.500
Tl3 Tl 0.500 0.500 0.500
F1 F 0.488 0.244 0.244
F2 F 0.000 0.760 0.240
F3 F 0.012 0.240 0.240
F4 F 0.500 0.753 0.247
F5 F 0.500 0.247 0.753
F6 F 0.988 0.760 0.760
F7 F 0.000 0.240 0.760
F8 F 0.512 0.756 0.756

=====

# Ti4Mn3Pd, optimized geometry, DFT PBE-GGA
# **V**: 110.50 Å³/f.u.
# **Space group**: P4/mmm (123)
# **Magnetization**: 0.083 μB per atom
# **Uncorrected energy**: -8.377 eV/atom
# **Calculated formation energy**: -0.342 eV per atom
data_Ti4Mn3Pd
_chemical_formula_sum 'Ti8 Mn6 Pd2'
_cell_length_a 4.266
_cell_length_b 6.070
_cell_length_c 8.534
_cell_angle_alpha 90.00
_cell_angle_beta 90.00
_cell_angle_gamma 90.00
_symmetry_space_group_name_H-M 'P 1'
_symmetry_Int_Tables_number 1
loop_
_symmetry_equiv_pos_as_xyz
'x,y,z'
loop_
_atom_site_label
_atom_site_type_symbol
_atom_site_fract_x
_atom_site_fract_y
_atom_site_fract_z
Mn1 Mn 0.000 0.000 0.000
Mn2 Mn 0.000 0.000 0.500
Mn3 Mn 0.500 0.000 0.750
Mn4 Mn 0.500 0.000 0.250
Mn5 Mn 0.500 0.500 0.750
Mn6 Mn 0.500 0.500 0.250
Pd1 Pd 0.000 0.500 0.000
Pd2 Pd 0.000 0.500 0.500
Ti1 Ti 0.500 0.762 0.000
Ti2 Ti 0.500 0.762 0.500
Ti3 Ti 0.500 0.238 0.000
Ti4 Ti 0.500 0.238 0.500
Ti5 Ti 0.000 0.762 0.750
Ti6 Ti 0.000 0.762 0.250
Ti7 Ti 0.000 0.238 0.250
Ti8 Ti 0.000 0.238 0.750

=====

# LaPaSn2, optimized geometry, DFT PBE-GGA
# **V**: 109.80 Å³/f.u.
# **Space group**: P4/mmm (123)
# **Magnetization**: 0.106 μB per atom
# **Excess energy over the best structure of this formula in the dataset**: 0.0 meV/atom
# **Uncorrected energy**: -6.043 eV/atom
# **Calculated formation energy**: -0.435 eV per atom
data_LaPaSn2
_chemical_formula_sum 'La1 Pa1 Sn2'
_cell_length_a 3.470
_cell_length_b 3.470
_cell_length_c 9.119
_cell_angle_alpha 90.00
_cell_angle_beta 90.00
_cell_angle_gamma 90.00
_symmetry_space_group_name_H-M 'P 1'
_symmetry_Int_Tables_number 1
loop_
_symmetry_equiv_pos_as_xyz
'x,y,z'
loop_
_atom_site_label
_atom_site_type_symbol
_atom_site_fract_x
_atom_site_fract_y
_atom_site_fract_z
Pa1 Pa 0.500 0.500 0.000
Sn1 Sn 0.000 0.000 0.760
Sn2 Sn 0.000 0.000 0.240
La1 La 0.500 0.500 0.500

=====

# Ca3SnGe2Pt9, optimized geometry, DFT PBE-GGA
# **V**: 340.44 Å³/f.u.
# **Space group**: P-3m1 (164)
# **Magnetization**: 0.000 μB per atom
# **Uncorrected energy**: -5.385 eV/atom
# **Calculated formation energy**: -0.478 eV per atom
data_Ca3SnGe2Pt9
_chemical_formula_sum 'Ca3 Sn1 Ge2 Pt9'
_cell_length_a 6.558
_cell_length_b 6.558
_cell_length_c 9.142
_cell_angle_alpha 90.00
_cell_angle_beta 90.00
_cell_angle_gamma 120.00
_symmetry_space_group_name_H-M 'P 1'
_symmetry_Int_Tables_number 1
loop_
_symmetry_equiv_pos_as_xyz
'x,y,z'
loop_
_atom_site_label
_atom_site_type_symbol
_atom_site_fract_x
_atom_site_fract_y
_atom_site_fract_z
Ca1 Ca 0.333 0.667 0.729
Ca2 Ca 0.000 0.000 0.000
Ca3 Ca 0.667 0.333 0.271
Sn1 Sn 0.000 0.000 0.500
Ge1 Ge 0.333 0.667 0.181
Ge2 Ge 0.667 0.333 0.819
Pt1 Pt 0.862 0.138 0.736
Pt2 Pt 0.862 0.724 0.736
Pt3 Pt 0.276 0.138 0.736
Pt4 Pt 0.724 0.862 0.264
Pt5 Pt 0.138 0.276 0.264
Pt6 Pt 0.138 0.862 0.264
Pt7 Pt 0.500 0.000 0.000
Pt8 Pt 0.000 0.500 0.000
Pt9 Pt 0.500 0.500 0.000

=====

# Ac3Nd6Th, optimized geometry, DFT PBE-GGA
# **V**: 381.99 Å³/f.u.
# **Space group**: P2_1/m (11)
# **Magnetization**: 0.000 μB per atom
# **Uncorrected energy**: -4.718 eV/atom
# **Calculated formation energy**: 0.118 eV per atom
data_Ac3Nd6Th
_chemical_formula_sum 'Ac6 Nd12 Th2'
_cell_length_a 3.696
_cell_length_b 13.871
_cell_length_c 16.073
_cell_angle_alpha 111.99
_cell_angle_beta 90.00
_cell_angle_gamma 90.00
_symmetry_space_group_name_H-M 'P 1'
_symmetry_Int_Tables_number 1
loop_
_symmetry_equiv_pos_as_xyz
'x,y,z'
loop_
_atom_site_label
_atom_site_type_symbol
_atom_site_fract_x
_atom_site_fract_y
_atom_site_fract_z
Ac1 Ac 0.750 0.532 0.908
Ac2 Ac 0.250 0.468 0.092
Ac3 Ac 0.750 0.624 0.497
Ac4 Ac 0.250 0.376 0.503
Ac5 Ac 0.750 0.226 0.110
Ac6 Ac 0.250 0.774 0.890
Nd1 Nd 0.750 0.561 0.699
Nd2 Nd 0.250 0.439 0.301
Nd3 Nd 0.750 0.959 0.107
Nd4 Nd 0.250 0.041 0.893
Nd5 Nd 0.750 0.270 0.897
Nd6 Nd 0.250 0.730 0.103
Nd7 Nd 0.750 0.688 0.293
Nd8 Nd 0.250 0.312 0.707
Nd9 Nd 0.750 0.117 0.493
Nd10 Nd 0.250 0.883 0.507
Nd11 Nd 0.750 0.839 0.709
Nd12 Nd 0.250 0.161 0.291
Th1 Th 0.750 0.075 0.697
Th2 Th 0.250 0.925 0.303

=====

- Which value of magnetization does entry 2 give?
  0.000 μB per atom

=====

- Which of these has the highest magnetization?
  LaPaSn2

=====

- Which value of magnetization does entry 6 give?
  0.000 μB per atom